Entry 1:
# TaBe3Tl (PBE, optimized geometry)
# Energy of formation from the pure elements   1610 meV per atom
data_TaBe3Tl
_cell_length_a 4.377
_cell_length_b 4.377
_cell_length_c 4.377
_cell_angle_alpha 90.00
_cell_angle_beta 90.00
_cell_angle_gamma 90.00
_symmetry_space_group_name_H-M 'P m -3 m'
_symmetry_Int_Tables_number 221
_symmetry_space_group_name_Hall '-P 4 2 3'
loop_
_atom_site_label
_atom_site_type_symbol
_atom_site_fract_x
_atom_site_fract_y
_atom_site_fract_z
Ta1 Ta 0.000 0.000 0.000
Be1 Be 0.000 0.500 0.500
Tl1 Tl 0.500 0.500 0.500

Entry 2:
# TaBeTl (PBE, optimized geometry)
# Energy of formation from the pure elements   344 meV per atom
data_TaBeTl
_cell_length_a 9.749
_cell_length_b 3.687
_cell_length_c 6.812
_cell_angle_alpha 90.00
_cell_angle_beta 126.00
_cell_angle_gamma 90.00
_symmetry_space_group_name_H-M 'C 1 2/m 1'
_symmetry_Int_Tables_number 12
loop_
_symmetry_equiv_pos_as_xyz
'x,y,z'
'-x,-y,-z'
'-x,y,-z'
'x,-y,z'
'x+1/2,y+1/2,z'
'-x+1/2,-y+1/2,-z'
'-x+1/2,y+1/2,-z'
'x+1/2,-y+1/2,z'
loop_
_atom_site_label
_atom_site_type_symbol
_atom_site_fract_x
_atom_site_fract_y
_atom_site_fract_z
Ta1 Ta 0.099 0.000 0.378
Be1 Be 0.120 0.500 0.648
Tl1 Tl 0.172 0.500 0.085

Entry 3:
# TaBeTl (PBE, optimized geometry)
# Energy of formation from the pure elements   270 meV per atom
data_TaBeTl
_cell_length_a 3.393
_cell_length_b 3.393
_cell_length_c 9.995
_cell_angle_alpha 90.00
_cell_angle_beta 90.00
_cell_angle_gamma 90.00
_symmetry_space_group_name_H-M 'P 4/n m m'
_symmetry_Int_Tables_number 129
loop_
_symmetry_equiv_pos_as_xyz
'x,y,z'
'-x,-y,-z'
'-y+1/2,x,z'
'y+1/2,-x,-z'
'-x+1/2,-y+1/2,z'
'x+1/2,y+1/2,-z'
'y,-x+1/2,z'
'-y,x+1/2,-z'
'x+1/2,-y,-z'
'-x+1/2,y,z'
'-y,-x,-z'
'y,x,z'
'-x,y+1/2,-z'
'x,-y+1/2,z'
'y+1/2,x+1/2,-z'
'-y+1/2,-x+1/2,z'
loop_
_atom_site_label
_atom_site_type_symbol
_atom_site_fract_x
_atom_site_fract_y
_atom_site_fract_z
Ta1 Ta 0.250 0.250 0.076
Be1 Be 0.250 0.250 0.826
Tl1 Tl 0.250 0.250 0.373

Record order is preserved below.
Distance to the lowest polymorph of the same formula: 110, 215, 140 meV per atom